# 1
# NdScSn

A relaxed structure of NdScSn (PBE-GGA, OQMD via LeMat-Bulk).

Summary:
Magnetization = 1.753 μB/cell
Energy above the lowest structure with this stoichiometry = 0.0 meV/atom
Space group = P4/nmm, No. 129

Cell: 4.514 4.514 8.299 Å, 90.00 90.00 90.00°
Element x y z (fractional)
1 Sc 0.000 0.000 0.500
2 Sc 0.500 0.500 0.500
3 Nd 0.000 0.500 0.151
4 Nd 0.500 0.000 0.849
5 Sn 0.000 0.500 0.748
6 Sn 0.500 0.000 0.252


# 2
# Tm2ScIn3PtAu2

A relaxed structure of Tm2ScIn3PtAu2 (PBE-GGA, OQMD via LeMat-Bulk).

Summary:
Final energy = -4.80 eV per atom
Magnetization = 0.011 μB/cell
Space group = Amm2, No. 38

Cell: 3.812 7.681 7.681 Å, 119.90 90.00 90.00°
Element x y z (fractional)
1 Pt 0.000 0.000 0.000
2 In 0.500 0.263 0.004
3 In 0.500 0.735 0.735
4 In 0.500 0.004 0.263
5 Sc 0.000 0.395 0.395
6 Au 0.500 0.665 0.335
7 Au 0.500 0.335 0.665
8 Tm 0.000 0.602 0.000
9 Tm 0.000 0.000 0.602


# 3
# KLi4InPd2

A relaxed structure of KLi4InPd2 (PBE-GGA, OQMD via LeMat-Bulk).

Summary:
Final energy = -2.94 eV per atom
Space group = P-4m2, No. 115

Cell: 4.720 4.720 6.783 Å, 90.00 90.00 90.00°
Element x y z (fractional)
1 In 0.000 0.000 0.500
2 Pd 0.500 0.000 0.299
3 Pd 0.000 0.500 0.701
4 Li 0.500 0.500 0.500
5 Li 0.500 0.000 0.706
6 Li 0.000 0.000 0.000
7 Li 0.000 0.500 0.294
8 K 0.500 0.500 0.000


# 4
# Be2NiTe

A relaxed structure of Be2NiTe (PBE-GGA, OQMD via LeMat-Bulk).

Summary:
Final energy = -3.47 eV per atom
Magnetization = 0.000 μB/cell
Space group = F-43m, No. 216

Cell: 4.296 4.296 4.296 Å, 60.00 60.00 60.00°
Element x y z (fractional)
1 Be 0.750 0.750 0.750
2 Be 0.000 0.000 0.000
3 Te 0.500 0.500 0.500
4 Ni 0.250 0.250 0.250